DyEr3Pu2S6: relaxed, GGA-PBE.

Unit cell a=6.7405 b=6.7405 c=6.7854 alpha=99.51 beta=99.51 gamma=120.03
With the nearest neighbours (Å) after each atom.
Sites, in units of the cell vectors:
Dy 0.0000 0.0000 0.0000  6 S 2.77-2.78
Er 0.1670 0.8330 0.5000  6 S 2.73-2.74
Er 0.5000 0.5000 0.5000  6 S 2.73-2.74
Er 0.8330 0.1670 0.5000  6 S 2.73-2.74
Pu 0.3334 0.6666 0.0000  6 S 2.78-2.79
Pu 0.6666 0.3334 0.0000  6 S 2.78-2.79
S 0.0853 0.4173 0.2559  3 Er 2.73-2.74, 1 Dy 2.77, 2 Pu 2.78-2.79
S 0.2462 0.2462 0.7429  3 Er 2.73-2.74, 1 Dy 2.78, 2 Pu 2.79
S 0.4173 0.0853 0.2559  3 Er 2.73-2.74, 1 Dy 2.77, 2 Pu 2.78-2.79
S 0.5827 0.9147 0.7441  3 Er 2.73-2.74, 1 Dy 2.77, 2 Pu 2.78-2.79
S 0.7538 0.7538 0.2571  3 Er 2.73-2.74, 1 Dy 2.78, 2 Pu 2.79
S 0.9147 0.5827 0.7441  3 Er 2.73-2.74, 1 Dy 2.77, 2 Pu 2.78-2.79

Properties
* Fermi-level density of states: 15.35 states/eV/f.u.
* formation energy (no corrections): -1.93 eV/atom
* space group: C2/m (12)

***

DyErPu2Sb4: relaxed, GGA-PBE.

Unit cell a=7.5885 b=4.4071 c=7.6363 alpha=90.00 beta=109.51 gamma=90.00
With the nearest neighbours (Å) after each atom.
Sites, in units of the cell vectors:
Dy 0.0000 0.0000 0.0000  6 Sb 3.10
Er 0.0000 0.5000 0.5000  6 Sb 3.09
Pu 0.5000 0.0000 0.5000  6 Sb 3.12
Pu 0.5000 0.5000 0.0000  6 Sb 3.13
Sb 0.2465 0.0000 0.7481  2 Er 3.09, 1 Dy 3.10, 3 Pu 3.12-3.13
Sb 0.2473 0.5000 0.2505  1 Er 3.09, 2 Dy 3.10, 3 Pu 3.12-3.13
Sb 0.7527 0.5000 0.7495  1 Er 3.09, 2 Dy 3.10, 3 Pu 3.12-3.13
Sb 0.7535 0.0000 0.2519  2 Er 3.09, 1 Dy 3.10, 3 Pu 3.12-3.13

Properties
* Fermi-level density of states: 31.83 states/eV/f.u.
* formation energy (no corrections): -0.84 eV/atom
* space group: P2/m (10)

***

DyEr2PuSc4: relaxed, GGA-PBE.

Unit cell a=8.9255 b=8.9255 c=8.9255 alpha=137.47 beta=102.71 gamma=92.46
With the nearest neighbours (Å) after each atom.
Sites, in units of the cell vectors:
Dy 0.5000 0.0000 0.0000  6 Sc 3.10-3.23, 2 Dy 3.24
Dy 0.5000 0.5000 0.5000  6 Sc 3.10-3.23, 2 Dy 3.24
Er 0.0000 0.0000 0.0000  6 Sc 3.23-3.27, 2 Pu 3.24
Er 0.0000 0.0000 0.5000  6 Sc 3.08-3.22, 2 Er 3.24
Er 0.0000 0.5000 0.0000  6 Sc 3.08-3.22, 2 Er 3.24
Er 0.5000 0.0000 0.5000  6 Sc 3.23-3.27, 2 Pu 3.24
Pu 0.0000 0.5000 0.5000  6 Sc 2.94-3.18, 2 Er 3.24
Pu 0.5000 0.5000 0.0000  6 Sc 2.94-3.18, 2 Er 3.24
Sc 0.2374 0.7382 0.4991  1 Pu 2.94, 3 Er 3.22-3.23, 2 Dy 3.23, 2 Sc 3.25
Sc 0.2490 0.2638 0.5148  1 Sc 3.05, 3 Er 3.08-3.27, 1 Dy 3.10, 2 Pu 3.18
Sc 0.2490 0.7342 0.9852  1 Sc 3.05, 3 Er 3.08-3.27, 1 Dy 3.10, 2 Pu 3.18
Sc 0.2609 0.2618 0.9991  1 Pu 2.94, 3 Er 3.22-3.23, 2 Dy 3.23, 2 Sc 3.25
Sc 0.7391 0.7382 0.0009  1 Pu 2.94, 3 Er 3.22-3.23, 2 Dy 3.23, 2 Sc 3.25
Sc 0.7510 0.2658 0.0148  1 Sc 3.05, 3 Er 3.08-3.27, 1 Dy 3.10, 2 Pu 3.18
Sc 0.7510 0.7362 0.4852  1 Sc 3.05, 3 Er 3.08-3.27, 1 Dy 3.10, 2 Pu 3.18
Sc 0.7626 0.2618 0.5009  1 Pu 2.94, 3 Er 3.22-3.23, 2 Dy 3.23, 2 Sc 3.25

Properties
* Fermi-level density of states: 19.35 states/eV/f.u.
* DFT formation energy: 0.46 eV/atom
* space group: Imma (74)

***

Dy3Er2PuSe6: relaxed, GGA-PBE.

Unit cell a=9.1104 b=9.1104 c=8.1784 alpha=103.01 beta=103.01 gamma=25.69
With the nearest neighbours (Å) after each atom.
Sites, in units of the cell vectors:
Dy 0.0000 0.0000 0.0000  6 Se 2.86-2.92
Dy 0.3358 0.3358 0.6648  6 Se 2.85-2.92
Dy 0.6642 0.6642 0.3352  6 Se 2.85-2.92
Er 0.3368 0.3368 0.1724  6 Se 2.81-2.90
Er 0.6632 0.6632 0.8276  6 Se 2.81-2.90
Pu 0.0000 0.0000 0.5000  6 Se 2.90-2.93
Se 0.1691 0.1691 0.0812  3 Er 2.88-2.90, 3 Dy 2.92
Se 0.1693 0.1693 0.5871  2 Er 2.84, 3 Dy 2.88, 1 Pu 2.93
Se 0.4994 0.4994 0.2458  1 Er 2.81, 3 Dy 2.85-2.86, 2 Pu 2.90
Se 0.5006 0.5006 0.7542  1 Er 2.81, 3 Dy 2.85-2.86, 2 Pu 2.90
Se 0.8307 0.8307 0.4129  2 Er 2.84, 3 Dy 2.88, 1 Pu 2.93
Se 0.8309 0.8309 0.9188  3 Er 2.88-2.90, 3 Dy 2.92

Properties
* Fermi-level density of states: 7.95 states/eV/f.u.
* formation energy (no corrections): -1.72 eV/atom
* space group: C2/m (12)

***

Dy4Er3PuSe8: relaxed, GGA-PBE.

Unit cell a=8.1398 b=8.1398 c=8.1398 alpha=59.94 beta=59.94 gamma=59.94
With the nearest neighbours (Å) after each atom.
Sites, in units of the cell vectors:
Dy 0.0000 0.0000 0.0000  6 Se 2.86
Dy 0.0000 0.5000 0.5000  6 Se 2.89
Dy 0.5000 0.0000 0.5000  6 Se 2.89
Dy 0.5000 0.5000 0.0000  6 Se 2.89
Er 0.0000 0.0000 0.5000  6 Se 2.86
Er 0.0000 0.5000 0.0000  6 Se 2.86
Er 0.5000 0.0000 0.0000  6 Se 2.86
Pu 0.5000 0.5000 0.5000  6 Se 2.89
Se 0.2460 0.7515 0.7515  3 Dy 2.86-2.89, 2 Er 2.86, 1 Pu 2.89
Se 0.2485 0.2485 0.7540  3 Dy 2.86-2.89, 2 Er 2.86, 1 Pu 2.89
Se 0.2485 0.7540 0.2485  3 Dy 2.86-2.89, 2 Er 2.86, 1 Pu 2.89
Se 0.2487 0.2487 0.2487  3 Er 2.86, 3 Dy 2.89
Se 0.7513 0.7513 0.7513  3 Er 2.86, 3 Dy 2.89
Se 0.7515 0.2460 0.7515  3 Dy 2.86-2.89, 2 Er 2.86, 1 Pu 2.89
Se 0.7515 0.7515 0.2460  3 Dy 2.86-2.89, 2 Er 2.86, 1 Pu 2.89
Se 0.7540 0.2485 0.2485  3 Dy 2.86-2.89, 2 Er 2.86, 1 Pu 2.89

Properties
* Fermi-level density of states: 12.99 states/eV/f.u.
* formation energy (no corrections): -1.71 eV/atom
* space group: R-3m (166)

***

Dy4ErPu3Se8: relaxed, GGA-PBE.

Unit cell a=8.2097 b=8.2097 c=8.2097 alpha=59.68 beta=59.68 gamma=59.68
With the nearest neighbours (Å) after each atom.
Sites, in units of the cell vectors:
Dy 0.0000 0.0000 0.0000  6 Se 2.91
Dy 0.0000 0.5000 0.5000  6 Se 2.88
Dy 0.5000 0.0000 0.5000  6 Se 2.88
Dy 0.5000 0.5000 0.0000  6 Se 2.88
Er 0.5000 0.5000 0.5000  6 Se 2.88
Pu 0.0000 0.0000 0.5000  6 Se 2.92
Pu 0.0000 0.5000 0.0000  6 Se 2.92
Pu 0.5000 0.0000 0.0000  6 Se 2.92
Se 0.2511 0.2511 0.7453  3 Dy 2.88-2.91, 1 Er 2.88, 2 Pu 2.92
Se 0.2511 0.7453 0.2511  3 Dy 2.88-2.91, 1 Er 2.88, 2 Pu 2.92
Se 0.2517 0.2517 0.2517  3 Dy 2.88, 3 Pu 2.92
Se 0.2547 0.7489 0.7489  3 Dy 2.88-2.91, 1 Er 2.88, 2 Pu 2.92
Se 0.7453 0.2511 0.2511  3 Dy 2.88-2.91, 1 Er 2.88, 2 Pu 2.92
Se 0.7483 0.7483 0.7483  3 Dy 2.88, 3 Pu 2.92
Se 0.7489 0.2547 0.7489  3 Dy 2.88-2.91, 1 Er 2.88, 2 Pu 2.92
Se 0.7489 0.7489 0.2547  3 Dy 2.88-2.91, 1 Er 2.88, 2 Pu 2.92

Properties
* Fermi-level density of states: 26.45 states/eV/f.u.
* formation energy (no corrections): -1.70 eV/atom
* space group: R-3m (166)

***

Dy2ErPu3Se6: relaxed, GGA-PBE.

Unit cell a=8.0084 b=8.0084 c=10.9371 alpha=111.69 beta=111.69 gamma=28.21
With the nearest neighbours (Å) after each atom.
Sites, in units of the cell vectors:
Dy 0.1244 0.1244 0.3502  5 Se 2.75-3.01
Dy 0.8756 0.8756 0.6498  5 Se 2.75-3.01
Er 0.5000 0.5000 0.5000  4 Se 2.67-2.72
Pu 0.1842 0.1842 0.8034  7 Se 3.01-3.25
Pu 0.5000 0.5000 0.0000  6 Se 2.79-2.99
Pu 0.8158 0.8158 0.1966  7 Se 3.01-3.25
Se 0.1576 0.1576 0.0841  5 Pu 2.99-3.25, 1 Dy 3.14
Se 0.3146 0.3146 0.4230  1 Er 2.67, 1 Dy 2.75
Se 0.4761 0.4761 0.2399  1 Er 2.72, 1 Pu 2.79, 2 Dy 2.91
Se 0.5239 0.5239 0.7601  1 Er 2.72, 1 Pu 2.79, 2 Dy 2.91
Se 0.6854 0.6854 0.5770  1 Er 2.67, 1 Dy 2.75
Se 0.8424 0.8424 0.9159  5 Pu 2.99-3.25, 1 Dy 3.14

Properties
* Fermi-level density of states: 28.94 states/eV/f.u.
* formation energy (no corrections): -1.46 eV/atom
* space group: C2/m (12)

***

DyEr2Pu3Se6: relaxed, GGA-PBE.

Unit cell a=9.1936 b=9.1936 c=8.2405 alpha=103.89 beta=103.89 gamma=25.59
With the nearest neighbours (Å) after each atom.
Sites, in units of the cell vectors:
Dy 0.0000 0.0000 0.0000  6 Se 2.88
Er 0.3335 0.3335 0.6672  6 Se 2.86
Er 0.6665 0.6665 0.3328  6 Se 2.86
Pu 0.0000 0.0000 0.5000  6 Se 2.92-2.93
Pu 0.3339 0.3339 0.1667  6 Se 2.92-2.93
Pu 0.6661 0.6661 0.8333  6 Se 2.92-2.93
Se 0.1658 0.1658 0.0888  2 Er 2.86, 1 Dy 2.88, 3 Pu 2.92-2.93
Se 0.1687 0.1687 0.5783  3 Er 2.86, 3 Pu 2.93
Se 0.4978 0.4978 0.7524  1 Er 2.86, 2 Dy 2.88, 3 Pu 2.92-2.93
Se 0.5022 0.5022 0.2476  1 Er 2.86, 2 Dy 2.88, 3 Pu 2.92-2.93
Se 0.8313 0.8313 0.4217  3 Er 2.86, 3 Pu 2.93
Se 0.8342 0.8342 0.9112  2 Er 2.86, 1 Dy 2.88, 3 Pu 2.92-2.93

Properties
* Fermi-level density of states: 25.76 states/eV/f.u.
* formation energy (no corrections): -1.65 eV/atom
* space group: C2/m (12)

***

Dy3Er3PuSe8: relaxed, GGA-PBE.

Unit cell a=8.1028 b=8.1028 c=8.1028 alpha=59.99 beta=59.99 gamma=59.99
With the nearest neighbours (Å) after each atom.
Sites, in units of the cell vectors:
Dy 0.0000 0.5000 0.5000  6 Se 2.88
Dy 0.5000 0.0000 0.5000  6 Se 2.88
Dy 0.5000 0.5000 0.0000  6 Se 2.88
Er 0.0000 0.0000 0.5000  6 Se 2.85
Er 0.0000 0.5000 0.0000  6 Se 2.85
Er 0.5000 0.0000 0.0000  6 Se 2.85
Pu 0.5000 0.5000 0.5000  6 Se 2.95
Se 0.2402 0.7573 0.7573  2 Er 2.85, 2 Dy 2.88, 1 Pu 2.95
Se 0.2427 0.2427 0.7598  2 Er 2.85, 2 Dy 2.88, 1 Pu 2.95
Se 0.2427 0.7598 0.2427  2 Er 2.85, 2 Dy 2.88, 1 Pu 2.95
Se 0.2489 0.2489 0.2489  3 Er 2.85, 3 Dy 2.88
Se 0.7511 0.7511 0.7511  3 Er 2.85, 3 Dy 2.88
Se 0.7573 0.2402 0.7573  2 Er 2.85, 2 Dy 2.88, 1 Pu 2.95
Se 0.7573 0.7573 0.2402  2 Er 2.85, 2 Dy 2.88, 1 Pu 2.95
Se 0.7598 0.2427 0.2427  2 Er 2.85, 2 Dy 2.88, 1 Pu 2.95

Properties
* Fermi-level density of states: 16.26 states/eV/f.u.
* formation energy (no corrections): -1.76 eV/atom
* space group: R-3m (166)

***

Sm2Dy3Er6Pu: relaxed, GGA-PBE.

Unit cell a=6.1127 b=6.1127 c=11.6352 alpha=95.04 beta=95.04 gamma=120.02
With the nearest neighbours (Å) after each atom.
Sites, in units of the cell vectors:
Sm 0.1665 0.8335 0.0000  6 Er 3.52, 3 Sm 3.53, 3 Pu 3.53
Sm 0.8335 0.1665 0.0000  6 Er 3.52, 3 Sm 3.53, 3 Pu 3.53
Dy 0.0000 0.0000 0.5000  6 Er 3.51-3.53, 6 Dy 3.53
Dy 0.3330 0.6670 0.5000  6 Er 3.51-3.53, 6 Dy 3.52-3.54
Dy 0.6670 0.3330 0.5000  6 Er 3.51-3.53, 6 Dy 3.52-3.54
Er 0.0877 0.4168 0.7503  6 Er 3.48-3.55, 1 Pu 3.50, 3 Dy 3.51-3.53, 2 Sm 3.52
Er 0.2540 0.2540 0.2499  6 Er 3.48-3.55, 1 Pu 3.50, 3 Dy 3.51-3.53, 2 Sm 3.52
Er 0.4168 0.0877 0.7503  6 Er 3.48-3.55, 1 Pu 3.50, 3 Dy 3.51-3.53, 2 Sm 3.52
Er 0.5832 0.9123 0.2497  6 Er 3.48-3.55, 1 Pu 3.50, 3 Dy 3.51-3.53, 2 Sm 3.52
Er 0.7460 0.7460 0.7501  6 Er 3.48-3.55, 1 Pu 3.50, 3 Dy 3.51-3.53, 2 Sm 3.52
Er 0.9123 0.5832 0.2497  6 Er 3.48-3.55, 1 Pu 3.50, 3 Dy 3.51-3.53, 2 Sm 3.52
Pu 0.5000 0.5000 0.0000  6 Er 3.50, 6 Sm 3.53

Properties
* Fermi-level density of states: 24.26 states/eV/f.u.
* DFT formation energy: 0.05 eV/atom
* space group: C2/m (12)

***

Sm6Dy3Er2Pu: relaxed, GGA-PBE.

Unit cell a=6.1934 b=6.1934 c=11.7560 alpha=95.05 beta=95.05 gamma=120.02
With the nearest neighbours (Å) after each atom.
Sites, in units of the cell vectors:
Sm 0.0820 0.4118 0.2475  1 Pu 3.52, 2 Er 3.54, 6 Sm 3.54-3.59, 3 Dy 3.57-3.59
Sm 0.2479 0.2479 0.7527  1 Pu 3.52, 2 Er 3.53, 6 Sm 3.54-3.59, 3 Dy 3.57-3.59
Sm 0.4118 0.0820 0.2475  1 Pu 3.52, 2 Er 3.54, 6 Sm 3.54-3.59, 3 Dy 3.57-3.59
Sm 0.5882 0.9180 0.7525  1 Pu 3.52, 2 Er 3.54, 6 Sm 3.54-3.59, 3 Dy 3.57-3.59
Sm 0.7521 0.7521 0.2473  1 Pu 3.52, 2 Er 3.53, 6 Sm 3.54-3.59, 3 Dy 3.57-3.59
Sm 0.9180 0.5882 0.7525  1 Pu 3.52, 2 Er 3.54, 6 Sm 3.54-3.59, 3 Dy 3.57-3.59
Dy 0.1669 0.8331 0.5000  6 Sm 3.57-3.59, 6 Dy 3.57-3.58
Dy 0.5000 0.5000 0.5000  6 Sm 3.57-3.59, 6 Dy 3.57-3.58
Dy 0.8331 0.1669 0.5000  6 Sm 3.57-3.59, 6 Dy 3.57-3.58
Er 0.3335 0.6665 0.0000  6 Sm 3.53-3.54, 3 Er 3.57-3.58, 3 Pu 3.57-3.58
Er 0.6665 0.3335 0.0000  6 Sm 3.53-3.54, 3 Er 3.57-3.58, 3 Pu 3.57-3.58
Pu 0.0000 0.0000 0.0000  6 Sm 3.52, 6 Er 3.57-3.58

Properties
* Fermi-level density of states: 22.71 states/eV/f.u.
* DFT formation energy: 0.04 eV/atom
* space group: C2/m (12)

***

Sm3Dy2Er6Pu: relaxed, GGA-PBE.

Unit cell a=6.1238 b=6.1238 c=11.6385 alpha=95.04 beta=95.04 gamma=120.01
With the nearest neighbours (Å) after each atom.
Sites, in units of the cell vectors:
Sm 0.0000 0.0000 0.0000  6 Sm 3.53-3.54, 6 Er 3.55-3.57
Sm 0.3328 0.6672 0.0000  6 Sm 3.53-3.55, 6 Er 3.55-3.57
Sm 0.6672 0.3328 0.0000  6 Sm 3.53-3.55, 6 Er 3.55-3.57
Dy 0.1666 0.8334 0.5000  6 Er 3.49, 3 Dy 3.53-3.54, 3 Pu 3.53-3.54
Dy 0.8334 0.1666 0.5000  6 Er 3.49, 3 Dy 3.53-3.54, 3 Pu 3.53-3.54
Er 0.0886 0.4177 0.2540  1 Pu 3.47, 2 Dy 3.49, 6 Er 3.49-3.56, 3 Sm 3.55-3.57
Er 0.2530 0.2530 0.7461  1 Pu 3.47, 2 Dy 3.49, 6 Er 3.49-3.56, 3 Sm 3.55-3.57
Er 0.4177 0.0886 0.2540  1 Pu 3.47, 2 Dy 3.49, 6 Er 3.49-3.56, 3 Sm 3.55-3.57
Er 0.5823 0.9114 0.7460  1 Pu 3.47, 2 Dy 3.49, 6 Er 3.49-3.56, 3 Sm 3.55-3.57
Er 0.7470 0.7470 0.2539  1 Pu 3.47, 2 Dy 3.49, 6 Er 3.49-3.56, 3 Sm 3.55-3.57
Er 0.9114 0.5823 0.7460  1 Pu 3.47, 2 Dy 3.49, 6 Er 3.49-3.56, 3 Sm 3.55-3.57
Pu 0.5000 0.5000 0.5000  6 Er 3.47, 6 Dy 3.53-3.54

Properties
* Fermi-level density of states: 22.78 states/eV/f.u.
* DFT formation energy: 0.04 eV/atom
* space group: C2/m (12)

***

Copy entry 9 word for word.
Dy3Er3PuSe8: relaxed, GGA-PBE.

Unit cell a=8.1028 b=8.1028 c=8.1028 alpha=59.99 beta=59.99 gamma=59.99
With the nearest neighbours (Å) after each atom.
Sites, in units of the cell vectors:
Dy 0.0000 0.5000 0.5000  6 Se 2.88
Dy 0.5000 0.0000 0.5000  6 Se 2.88
Dy 0.5000 0.5000 0.0000  6 Se 2.88
Er 0.0000 0.0000 0.5000  6 Se 2.85
Er 0.0000 0.5000 0.0000  6 Se 2.85
Er 0.5000 0.0000 0.0000  6 Se 2.85
Pu 0.5000 0.5000 0.5000  6 Se 2.95
Se 0.2402 0.7573 0.7573  2 Er 2.85, 2 Dy 2.88, 1 Pu 2.95
Se 0.2427 0.2427 0.7598  2 Er 2.85, 2 Dy 2.88, 1 Pu 2.95
Se 0.2427 0.7598 0.2427  2 Er 2.85, 2 Dy 2.88, 1 Pu 2.95
Se 0.2489 0.2489 0.2489  3 Er 2.85, 3 Dy 2.88
Se 0.7511 0.7511 0.7511  3 Er 2.85, 3 Dy 2.88
Se 0.7573 0.2402 0.7573  2 Er 2.85, 2 Dy 2.88, 1 Pu 2.95
Se 0.7573 0.7573 0.2402  2 Er 2.85, 2 Dy 2.88, 1 Pu 2.95
Se 0.7598 0.2427 0.2427  2 Er 2.85, 2 Dy 2.88, 1 Pu 2.95

Properties
* Fermi-level density of states: 16.26 states/eV/f.u.
* formation energy (no corrections): -1.76 eV/atom
* space group: R-3m (166)